CsZnGe: relaxed, PBE.

a b c (Å): 6.125 4.341 4.341
angles (deg): 120.00 90.00 90.00
Sites, in units of the cell vectors:
Zn 0.166 0.333 0.667
Cs 0.667 0.667 0.333
Ge 0.167 0.000 0.000

Its space group is No. 187. For the density of states at the Fermi level, the calculation gives 0.6724 states/eV/atom. The calculation puts the energy of formation from the pure elements at 0.003 eV/atom. As for the spin magnetization: 0.00 Bohr magnetons per cell.